Material: Ir2OsAu
Method: DFT, SCAN
State: single point on PBEsol structure

The space group is P4mm (No. 99) and the conventional cell measures 2.738, 2.738 and 7.838 Å, with angles of 90.00, 90.00 and 90.00 degrees. The distinct sites, in fractional coordinates, are Ir at (0.000, 0.000, 0.000), Ir at (0.500, 0.500, 0.242), Os at (0.000, 0.000, 0.473) and Au at (0.500, 0.500, 0.736).

The density of states at the Fermi level comes out at 0.892 states/eV per atom. The value obtained for the magnetic moment is 0.0 μB per cell. For the energy of formation, the calculation gives 310 meV per atom.